Entry 1:
This record from the Open Quantum Materials Database describes an optimized crystal structure of Sm4Al23Ni6. The functional is PBE-GGA.

Cell and atoms, written as POSCAR:
```
Sm4Al23Ni6
1.0
-1.301 -1.752 -3.478
-0.111 -6.102 5.538
-15.213 5.485 5.352
Al Ni Sm
23 6 4
Cartesian
-10.359 -0.562 1.735
-14.879 -0.410 8.196
-14.040 -0.019 5.262
-12.113 -2.966 6.025
-6.267 -1.806 5.678
-14.525 4.348 5.667
-1.786 -4.397 0.460
-8.351 1.588 2.325
-4.513 0.597 1.388
-8.313 -1.184 3.706
-3.283 -5.837 4.168
-13.343 3.468 3.245
-5.337 -1.884 2.945
-5.811 -4.617 4.499
-8.274 -3.957 5.088
-14.840 2.028 6.953
-2.101 -6.717 1.746
-12.303 -0.529 7.292
-4.322 -1.840 0.120
-11.289 -0.485 4.467
-10.814 2.248 2.913
-1.747 -1.959 -0.783
-2.586 -2.350 2.151
-15.034 2.124 4.554
-1.592 -4.493 2.858
-2.244 -0.214 0.947
-10.237 1.511 0.645
-14.382 -2.155 6.466
-6.389 -3.880 6.768
-7.304 -0.851 0.738
-9.322 -1.518 6.675
-4.639 -4.674 1.666
-11.986 2.305 5.746
```

Space group   C2/m (12)
VASP energy   -4.71 eV/atom

***

Entry 2:
This record from the Open Quantum Materials Database describes an optimized crystal structure of Sm2Al8Ni. The functional is PBE-GGA.

Cell and atoms, written as POSCAR:
```
Sm2Al8Ni
1.0
4.282 0.000 0.000
0.000 4.282 0.000
0.000 0.000 11.232
Al Sm Ni
8 2 1
Cartesian
0.000 2.141 9.914
0.000 2.141 1.318
2.141 0.000 5.616
2.141 2.141 3.388
2.141 0.000 1.318
2.141 0.000 9.914
0.000 2.141 5.616
2.141 2.141 7.845
0.000 0.000 7.776
0.000 0.000 3.457
0.000 0.000 0.000
```

Space group   P4/mmm (123)
VASP energy   -4.51 eV/atom

***

Entry 3:
This record from the Open Quantum Materials Database describes an optimized crystal structure of SmTmAlNi2. The functional is PBE-GGA.

Cell and atoms, written as POSCAR:
```
SmTmAlNi2
1.0
2.070 -3.345 3.688
-4.452 -2.407 1.860
2.308 0.405 -4.856
Tm Ni Sm Al
1 2 1 1
Cartesian
-1.779 -2.707 0.148
0.096 -1.784 -1.811
-0.169 -3.561 2.501
1.704 -2.640 0.544
-0.001 -0.002 0.002
```

Space group   Imm2 (44)
VASP energy   -5.34 eV/atom